Record 1
Material: Pd2RuPtI
Method: DFT, GGA-PBEsol
State: optimized geometry

Unit cell a=4.675 b=4.798 c=4.798 alpha=90.00 beta=90.00 gamma=90.00
Positions (direct):
1 Pd 0.000 0.000 0.500
2 Pd 0.000 0.500 0.000
3 Pt 0.500 0.000 0.000
4 Ru 0.000 0.000 0.000
5 I 0.500 0.500 0.500

## Properties
- E_tot (eV/atom) = -4.936
- Fermi-level density of states (states/eV per atom) = 1.303

***

Record 2
Material: MnSe2Cl
Method: DFT, GGA-PBEsol
State: optimized geometry

Unit cell a=3.320 b=4.100 c=6.374 alpha=108.76 beta=105.10 gamma=90.00
Last column: magnetic moment on the atom in μB.
Positions (direct):
1 Se 0.730 0.730 0.460  0.04
2 Se 0.270 0.270 0.540  0.04
3 Cl 0.500 0.000 0.000  0.07
4 Mn 0.000 0.500 0.000  4.31

## Properties
- energy above the lowest structure with this stoichiometry (meV/atom) = 304
- Fermi-level density of states (states/eV per atom) = 0.408

***

Record 3
Material: CaTmIn2
Method: DFT, GGA-PBEsol
State: optimized geometry

Unit cell a=5.250 b=5.250 c=5.250 alpha=60.00 beta=60.00 gamma=60.00
Positions (direct):
1 Ca 0.000 0.000 0.000
2 Tm 0.500 0.500 0.500
3 In 0.250 0.250 0.250
4 In 0.750 0.750 0.750

## Properties
- E_tot (eV/atom) = -3.722
- Fermi-level density of states (states/eV per atom) = 0.520

***

Record 4
Material: TlOsPbCl2
Method: DFT, GGA-PBEsol
State: optimized geometry

Unit cell a=5.264 b=5.493 c=5.493 alpha=90.00 beta=90.00 gamma=90.00
Last column: magnetic moment on the atom in μB.
Positions (direct):
1 Pb 0.000 0.000 0.000  -0.03
2 Cl 0.000 0.500 0.000  0.03
3 Cl 0.000 0.000 0.500  0.03
4 Os 0.500 0.000 0.000  2.16
5 Tl 0.500 0.500 0.500  0.00

## Properties
- E_tot (eV/atom) = -3.808
- Fermi-level density of states (states/eV per atom) = 1.351

***

Record 5
Material: CoNi
Method: DFT, GGA-PBEsol
State: optimized geometry

Unit cell a=3.967 b=4.228 c=4.943 alpha=90.00 beta=90.00 gamma=90.00
Last column: magnetic moment on the atom in μB.
Positions (direct):
1 Co 0.250 0.078 0.375  1.67
2 Co 0.750 0.922 0.625  1.67
3 Co 0.750 0.422 0.875  1.67
4 Co 0.250 0.578 0.125  1.67
5 Ni 0.750 0.420 0.375  0.71
6 Ni 0.750 0.920 0.125  0.71
7 Ni 0.250 0.080 0.875  0.71
8 Ni 0.250 0.580 0.625  0.71

## Properties
- E_tot (eV/atom) = -6.953
- Fermi-level density of states (states/eV per atom) = 1.034

***

Record 6
Material: CsTaS2Cl
Method: DFT, GGA-PBEsol
State: optimized geometry

Unit cell a=5.321 b=5.321 c=5.683 alpha=90.00 beta=90.00 gamma=90.00
Last column: magnetic moment on the atom in μB.
Positions (direct):
1 S 0.500 0.000 0.000  -0.20
2 S 0.000 0.500 0.000  -0.20
3 Cs 0.000 0.000 0.000  -0.03
4 Ta 0.500 0.500 0.500  2.20
5 Cl 0.000 0.000 0.500  -0.04

## Properties
- E_tot (eV/atom) = -3.145
- Fermi-level density of states (states/eV per atom) = 1.590

***

Record 7
Material: K2LiRh
Method: DFT, GGA-PBEsol
State: optimized geometry

Unit cell a=4.409 b=4.420 c=8.314 alpha=104.89 beta=90.00 gamma=119.92
Last column: magnetic moment on the atom in μB.
Positions (direct):
1 K 0.958 0.917 0.883  0.00
2 K 0.792 0.585 0.368  0.00
3 Li 0.541 0.082 0.625  0.00
4 Rh 0.208 0.417 0.625  0.22

## Properties
- E_tot (eV/atom) = -2.617
- Fermi-level density of states (states/eV per atom) = 1.493

***

Record 8
Material: LaFeAsO
Method: DFT, GGA-PBEsol
State: optimized geometry

Unit cell a=3.969 b=3.969 c=8.457 alpha=90.00 beta=90.00 gamma=90.00
Positions (direct):
1 As 0.000 0.500 0.361
2 As 0.500 0.000 0.639
3 Fe 0.000 0.000 0.500
4 Fe 0.500 0.500 0.500
5 La 0.000 0.500 0.853
6 La 0.500 0.000 0.147
7 O 0.000 0.000 0.000
8 O 0.500 0.500 0.000

## Properties
- E_tot (eV/atom) = -8.014
- Fermi-level density of states (states/eV per atom) = 0.649

***

Record 9
Material: InSi2Te
Method: DFT, GGA-PBEsol
State: optimized geometry

Unit cell a=4.916 b=4.916 c=4.916 alpha=60.00 beta=60.00 gamma=60.00
Positions (direct):
1 Si 0.750 0.750 0.750
2 Si 0.000 0.000 0.000
3 Te 0.250 0.250 0.250
4 In 0.500 0.500 0.500

## Properties
- energy above the lowest structure with this stoichiometry (meV/atom) = 336
- Fermi-level density of states (states/eV per atom) = 0.674

***

Record 10
Material: TcOs2Br
Method: DFT, GGA-PBEsol
State: optimized geometry

Unit cell a=2.817 b=4.700 c=4.700 alpha=107.21 beta=90.00 gamma=90.00
Positions (direct):
1 Br 0.500 0.500 0.500
2 Os 0.000 0.500 0.000
3 Os 0.000 0.000 0.500
4 Tc 0.500 0.000 0.000

## Properties
- energy above the lowest structure with this stoichiometry (meV/atom) = 595
- Fermi-level density of states (states/eV per atom) = 0.923

***

Record 11
Material: La5Sn3C
Method: DFT, GGA-PBEsol
State: optimized geometry

Unit cell a=6.768 b=9.430 c=9.430 alpha=120.00 beta=90.00 gamma=90.00
Positions (direct):
1 La 0.250 0.786 0.000
2 La 0.250 0.214 0.214
3 La 0.750 0.000 0.214
4 La 0.000 0.667 0.333
5 La 0.250 0.000 0.786
6 La 0.750 0.214 0.000
7 La 0.750 0.786 0.786
8 La 0.500 0.667 0.333
9 La 0.500 0.333 0.667
10 La 0.000 0.333 0.667
11 Sn 0.750 0.589 0.000
12 Sn 0.750 0.411 0.411
13 Sn 0.750 0.000 0.589
14 Sn 0.250 0.000 0.411
15 Sn 0.250 0.411 0.000
16 Sn 0.250 0.589 0.589
17 C 0.000 0.000 0.000
18 C 0.500 0.000 0.000

## Properties
- E_tot (eV/atom) = -6.084
- Fermi-level density of states (states/eV per atom) = 1.260

***

Record 12
Material: Ta4CoP
Method: DFT, GGA-PBEsol
State: optimized geometry

Unit cell a=4.933 b=6.080 c=6.080 alpha=90.00 beta=90.00 gamma=90.00
Positions (direct):
1 P 0.750 0.500 0.500
2 P 0.250 0.500 0.500
3 Ta 0.000 0.843 0.332
4 Ta 0.500 0.843 0.668
5 Ta 0.500 0.668 0.157
6 Ta 0.000 0.157 0.668
7 Ta 0.000 0.668 0.843
8 Ta 0.500 0.332 0.843
9 Ta 0.500 0.157 0.332
10 Ta 0.000 0.332 0.157
11 Co 0.250 0.000 0.000
12 Co 0.750 0.000 0.000

## Properties
- E_tot (eV/atom) = -11.136
- Fermi-level density of states (states/eV per atom) = 0.721

***

Record 13
Material: YOsN2O
Method: DFT, GGA-PBEsol
State: optimized geometry

Unit cell a=3.828 b=3.828 c=3.995 alpha=90.00 beta=90.00 gamma=90.00
Positions (direct):
1 O 0.000 0.000 0.500
2 Os 0.000 0.000 0.000
3 N 0.000 0.500 0.000
4 N 0.500 0.000 0.000
5 Y 0.500 0.500 0.500

## Properties
- E_tot (eV/atom) = -9.085
- Fermi-level density of states (states/eV per atom) = 0.333

***

Record 14
Material: Al2SbOs
Method: DFT, GGA-PBEsol
State: optimized geometry

Unit cell a=3.232 b=4.431 c=5.051 alpha=90.00 beta=104.39 gamma=90.00
Positions (direct):
1 Al 0.369 0.000 0.227
2 Al 0.631 0.000 0.773
3 Os 0.500 0.500 0.000
4 Sb 0.000 0.500 0.500

## Properties
- E_tot (eV/atom) = -5.942
- Fermi-level density of states (states/eV per atom) = 0.590

***

Record 15
Material: YMgTl2
Method: DFT, GGA-PBEsol
State: optimized geometry

Unit cell a=5.269 b=5.269 c=5.269 alpha=60.00 beta=60.00 gamma=60.00
Positions (direct):
1 Mg 0.500 0.500 0.500
2 Tl 0.750 0.750 0.750
3 Tl 0.000 0.000 0.000
4 Y 0.250 0.250 0.250

## Properties
- E_tot (eV/atom) = -3.513
- Fermi-level density of states (states/eV per atom) = 0.734

***

Record 16
Material: SrAlCoMo2
Method: DFT, GGA-PBEsol
State: optimized geometry

Unit cell a=4.398 b=4.754 c=4.754 alpha=90.00 beta=90.00 gamma=90.00
Last column: magnetic moment on the atom in μB.
Positions (direct):
1 Sr 0.000 0.000 0.000  0.00
2 Mo 0.000 0.500 0.000  0.61
3 Mo 0.000 0.000 0.500  0.61
4 Al 0.500 0.500 0.500  -0.01
5 Co 0.500 0.000 0.000  1.10

## Properties
- E_tot (eV/atom) = -4.727
- Fermi-level density of states (states/eV per atom) = 1.787

***

Record 17
Material: BaPr2In2O7
Method: DFT, GGA-PBEsol
State: optimized geometry

Unit cell a=5.906 b=5.906 c=20.577 alpha=90.00 beta=90.00 gamma=90.00
Positions (direct):
1 Pr 0.278 0.278 0.815
2 Pr 0.222 0.778 0.315
3 Pr 0.278 0.278 0.185
4 Pr 0.778 0.222 0.315
5 Pr 0.722 0.722 0.815
6 Pr 0.222 0.778 0.685
7 Pr 0.722 0.722 0.185
8 Pr 0.778 0.222 0.685
9 Ba 0.740 0.740 0.000
10 Ba 0.260 0.260 0.000
11 Ba 0.240 0.760 0.500
12 Ba 0.760 0.240 0.500
13 O 0.500 0.000 0.617
14 O 0.500 0.500 0.636
15 O 0.000 0.500 0.117
16 O 0.500 0.000 0.117
17 O 0.819 0.819 0.711
18 O 0.500 0.000 0.883
19 O 0.500 0.500 0.364
20 O 0.798 0.202 0.000
21 O 0.702 0.702 0.500
22 O 0.000 0.000 0.864
23 O 0.298 0.298 0.500
24 O 0.319 0.681 0.789
25 O 0.000 0.500 0.383
26 O 0.819 0.819 0.289
27 O 0.000 0.000 0.136
28 O 0.000 0.500 0.617
29 O 0.202 0.798 0.000
30 O 0.681 0.319 0.211
31 O 0.319 0.681 0.211
32 O 0.000 0.000 0.591
33 O 0.681 0.319 0.789
34 O 0.000 0.500 0.883
35 O 0.181 0.181 0.711
36 O 0.500 0.500 0.091
37 O 0.500 0.500 0.909
38 O 0.500 0.000 0.383
39 O 0.181 0.181 0.289
40 O 0.000 0.000 0.409
41 In 0.741 0.741 0.398
42 In 0.759 0.241 0.102
43 In 0.241 0.759 0.898
44 In 0.259 0.259 0.398
45 In 0.241 0.759 0.102
46 In 0.759 0.241 0.898
47 In 0.741 0.741 0.602
48 In 0.259 0.259 0.602

## Properties
- E_tot (eV/atom) = -7.121
- Fermi-level density of states (states/eV per atom) = 0.000

***

Record 18
Material: LaMgAu2
Method: DFT, GGA-PBEsol
State: optimized geometry

Unit cell a=3.385 b=3.385 c=7.349 alpha=90.00 beta=90.00 gamma=90.00
Positions (direct):
1 Au 0.000 0.000 0.710
2 Au 0.000 0.000 0.290
3 La 0.500 0.500 0.000
4 Mg 0.500 0.500 0.500

## Properties
- E_tot (eV/atom) = -4.382
- Fermi-level density of states (states/eV per atom) = 0.611

***

Record 19
Material: As2IrCl
Method: DFT, GGA-PBEsol
State: optimized geometry

Unit cell a=3.751 b=3.751 c=4.718 alpha=90.00 beta=90.00 gamma=90.00
Positions (direct):
1 As 0.500 0.000 0.000
2 As 0.000 0.500 0.000
3 Ir 0.000 0.000 0.500
4 Cl 0.500 0.500 0.500

## Properties
- energy above the lowest structure with this stoichiometry (meV/atom) = 902
- Fermi-level density of states (states/eV per atom) = 0.487

***

Record 20
Material: BaNb2V2O11
Method: DFT, GGA-PBEsol
State: optimized geometry

Unit cell a=5.574 b=5.574 c=9.958 alpha=73.75 beta=73.75 gamma=60.00
Positions (direct):
1 V 0.603 0.603 0.192
2 V 0.397 0.397 0.808
3 O 0.242 0.756 0.247
4 O 0.000 0.500 0.500
5 O 0.000 0.000 0.500
6 O 0.661 0.661 0.017
7 O 0.339 0.339 0.983
8 O 0.500 0.000 0.500
9 O 0.756 0.756 0.247
10 O 0.244 0.758 0.753
11 O 0.244 0.244 0.753
12 O 0.758 0.244 0.753
13 O 0.756 0.242 0.247
14 Ba 0.000 0.000 0.000
15 Nb 0.870 0.870 0.390
16 Nb 0.130 0.130 0.610

## Properties
- E_tot (eV/atom) = -8.889
- Fermi-level density of states (states/eV per atom) = 0.000